1.
SrLiU | GGA-PBE | optimized geometry

Summary:
The energy above the most stable polymorph in this dataset is 0.00 eV/f.u. The energy is -3.660 eV per atom. Its symmetry is F-43m (216). The size of the total moment comes out at 4.4 μB per cell.

Cell: 5.2496 5.2496 5.2496 Å, 60.00 60.00 60.00°
With the nearest neighbours (Å) after each atom.
Fractional positions:
Sr 0.0000 0.0000 0.0000  4 Li 3.21
Li 0.2500 0.2500 0.2500  4 U 3.21, 4 Sr 3.21
U 0.5000 0.5000 0.5000  4 Li 3.21



2.
SrLi8Zn4 | GGA-PBE | optimized geometry

Summary:
The energy is -1.827 eV per atom. Its symmetry is I4/mmm (139).

Cell: 7.2389 7.2389 7.2389 Å, 97.31 97.31 138.22°
With the nearest neighbours (Å) after each atom.
Fractional positions:
Sr 0.0000 0.0000 0.0000  12 Li 3.36-3.41, 8 Zn 3.62
Li 0.0000 0.3511 0.3511  5 Li 2.81-2.92, 4 Zn 2.88
Li 0.0000 0.6489 0.6489  5 Li 2.81-2.92, 4 Zn 2.88
Li 0.2663 0.5000 0.7663  4 Zn 2.72, 4 Li 2.81-2.92
Li 0.3511 0.0000 0.3511  5 Li 2.81-2.92, 4 Zn 2.88
Li 0.5000 0.2663 0.7663  4 Zn 2.72, 4 Li 2.81-2.92
Li 0.5000 0.7337 0.2337  4 Zn 2.72, 4 Li 2.81-2.92
Li 0.6489 0.0000 0.6489  5 Li 2.81-2.92, 4 Zn 2.88
Li 0.7337 0.5000 0.2337  4 Zn 2.72, 4 Li 2.81-2.92
Zn 0.0000 0.0000 0.5000  2 Zn 2.58, 8 Li 2.72-2.88
Zn 0.0000 0.5000 0.0000  2 Zn 2.58, 8 Li 2.72-2.88
Zn 0.5000 0.0000 0.0000  2 Zn 2.58, 8 Li 2.72-2.88
Zn 0.5000 0.5000 0.5000  2 Zn 2.58, 8 Li 2.72-2.88



3.
SrLi2Zn | GGA-PBE | optimized geometry

Summary:
The energy is -1.691 eV per atom. Its symmetry is F-43m (216).

Cell: 5.1776 5.1776 5.1776 Å, 60.00 60.00 60.00°
With the nearest neighbours (Å) after each atom.
Fractional positions:
Sr 0.0000 0.0000 0.0000  4 Zn 3.17, 4 Li 3.17
Li 0.2500 0.2500 0.2500  4 Li 3.17, 4 Sr 3.17
Li 0.5000 0.5000 0.5000  4 Li 3.17, 4 Zn 3.17
Zn 0.7500 0.7500 0.7500  4 Li 3.17, 4 Sr 3.17



4.
Sr2Li2Zn3 | GGA-PBE | optimized geometry

Summary:
The energy is -1.620 eV per atom. Its symmetry is R3m (160).

Cell: 8.2660 8.2660 8.2660 Å, 36.16 36.16 36.16°
With the nearest neighbours (Å) after each atom.
Fractional positions:
Sr 0.0000 0.0000 0.0000  7 Zn 2.96-3.22
Sr 0.4759 0.4759 0.4759  5 Zn 3.16-3.25, 3 Li 3.47
Li 0.2265 0.2265 0.2265  1 Zn 2.58
Li 0.7315 0.7315 0.7315  1 Zn 2.76
Zn 0.3381 0.3381 0.3381  1 Li 2.58
Zn 0.6125 0.6125 0.6125  1 Li 2.76
Zn 0.8665 0.8665 0.8665  4 Li 3.03-3.12, 4 Sr 3.09-3.25



5.
SrLi2Zn2 | GGA-PBE | optimized geometry

Summary:
The energy is -1.731 eV per atom. Its symmetry is I4/mmm (139).

Cell: 6.5420 6.5420 6.5420 Å, 140.76 140.76 56.70°
With the nearest neighbours (Å) after each atom.
Fractional positions:
Sr 0.0000 0.0000 0.0000  8 Zn 3.36, 8 Li 3.62
Li 0.2500 0.7500 0.5000  4 Zn 2.71
Li 0.7500 0.2500 0.5000  4 Zn 2.71
Zn 0.3881 0.3881 0.0000  1 Zn 2.58, 4 Li 2.71
Zn 0.6119 0.6119 0.0000  1 Zn 2.58, 4 Li 2.71



6.
Li5Ta | GGA-PBE | optimized geometry

Summary:
The energy is -3.084 eV per atom. Its symmetry is C2/m (12). The size of the total moment comes out at 3.3 μB per cell.

Cell: 9.0546 9.0546 5.0821 Å, 91.61 91.61 112.96°
With the nearest neighbours (Å) after each atom.
Fractional positions:
Li 0.0119 0.0119 0.2458  3 Li 2.50-2.67
Li 0.0228 0.7180 0.4913  7 Li 2.59-2.88, 2 Ta 2.85-2.89
Li 0.1144 0.5234 0.2054  4 Li 2.37-2.64
Li 0.1622 0.3183 0.9696  2 Li 2.36-2.37
Li 0.2383 0.5799 0.6923  7 Li 2.64-2.91, 2 Ta 2.82-2.92
Li 0.2510 0.2510 0.5035  5 Li 2.60-2.67, 2 Ta 2.69-2.91
Li 0.2820 0.9772 0.5087  7 Li 2.59-2.88, 2 Ta 2.85-2.89
Li 0.3183 0.1622 0.9696  2 Li 2.36-2.37
Li 0.4201 0.7617 0.3077  7 Li 2.64-2.91, 2 Ta 2.82-2.92
Li 0.4766 0.8856 0.7946  4 Li 2.37-2.64
Li 0.5234 0.1144 0.2054  4 Li 2.37-2.64
Li 0.5799 0.2383 0.6923  7 Li 2.64-2.91, 2 Ta 2.82-2.92
Li 0.6817 0.8378 0.0304  2 Li 2.36-2.37
Li 0.7180 0.0228 0.4913  7 Li 2.59-2.88, 2 Ta 2.85-2.89
Li 0.7490 0.7490 0.4965  5 Li 2.60-2.67, 2 Ta 2.69-2.91
Li 0.7617 0.4201 0.3077  7 Li 2.64-2.91, 2 Ta 2.82-2.92
Li 0.8378 0.6817 0.0304  2 Li 2.36-2.37
Li 0.8856 0.4766 0.7946  4 Li 2.37-2.64
Li 0.9772 0.2820 0.5087  7 Li 2.59-2.88, 2 Ta 2.85-2.89
Li 0.9881 0.9881 0.7542  3 Li 2.50-2.67
Ta 0.1757 0.8243 0.0000  12 Li 2.80-2.93
Ta 0.4799 0.4799 0.2479  2 Ta 2.57, 3 Li 2.69-2.82
Ta 0.5201 0.5201 0.7521  2 Ta 2.57, 3 Li 2.69-2.82
Ta 0.8243 0.1757 0.0000  12 Li 2.80-2.93



7.
LiTa | GGA-PBE | optimized geometry

Summary:
The energy above the most stable polymorph in this dataset is 2.02 eV/f.u. The energy is -5.476 eV per atom. Its symmetry is Fm-3m (225). The size of the total moment comes out at 0.0 μB per cell.

Cell: 3.5238 3.5238 3.5238 Å, 60.00 60.00 60.00°
With the nearest neighbours (Å) after each atom.
Fractional positions:
Li 0.0000 0.0000 0.0000  6 Ta 2.49
Ta 0.5000 0.5000 0.5000  6 Li 2.49



8.
LiTa | GGA-PBE | optimized geometry

Summary:
The energy above the most stable polymorph in this dataset is 0.00 eV/f.u. The energy is -6.488 eV per atom. Its symmetry is P-6m2 (187). The size of the total moment comes out at 0.0 μB per cell.

Cell: 2.7846 2.7846 5.1958 Å, 90.00 90.00 120.00°
With the nearest neighbours (Å) after each atom.
Fractional positions:
Li 0.0000 0.0000 0.0000  6 Li 2.78, 6 Ta 3.06
Ta 0.6667 0.3333 0.5000  6 Ta 2.78, 6 Li 3.06



| no. | V (A^3/atom) |
| --- | --- |
| 1 | 34.1 |
| 2 | 18.2 |
| 3 | 24.5 |
| 4 | 25.1 |
| 5 | 22.2 |
| 6 | 16.0 |
| 7 | 15.5 |
| 8 | 17.4 |